First-principles (GGA-PBE) data for PmNd3Tm2As6 after structural relaxation, as listed in Alexandria via LeMat-Bulk.

Cell: 7.2749 12.5985 7.2707 Å, 90.00 109.47 90.00°
Closest atoms and distances in Å follow each position.
Space group C2/m (No. 12)
Inequivalent atoms, fractional coordinates:
1 Pm 0.0000 0.0000 0.0000 (multiplicity 2)  6 As 2.97
2 Nd 0.0000 0.1653 0.5000 (multiplicity 4)  6 As 2.98-3.02
3 Nd 0.0000 0.5000 0.5000 (multiplicity 2)  6 As 2.98-3.02
4 Tm 0.0000 0.3329 0.0000 (multiplicity 4)  6 As 2.91-2.92
5 As 0.2408 0.5000 0.2399 (multiplicity 4)  2 Tm 2.92, 1 Pm 2.97, 3 Nd 2.98-3.02
6 As 0.2499 0.1696 0.2411 (multiplicity 8)  2 Tm 2.91-2.92, 1 Pm 2.97, 3 Nd 2.98-3.02

As for the magnetization: 0.0 Bohr magnetons per cell. For the formation energy, the calculation gives -1.500 eV/atom. The total energy is -6.158 eV/atom.



First-principles (GGA-PBE) data for CsInSn2 after structural relaxation, as listed in Alexandria via LeMat-Bulk.

Cell: 4.0492 4.0492 8.5177 Å, 90.00 90.00 90.00°
Closest atoms and distances in Å follow each position.
Space group P4/mmm (No. 123)
Inequivalent atoms, fractional coordinates:
1 Cs 0.0000 0.0000 0.0000 (multiplicity 1)  8 Sn 3.99, 4 Cs 4.05, 2 In 4.26
2 In 0.0000 0.0000 0.5000 (multiplicity 1)  8 Sn 3.22
3 Sn 0.5000 0.5000 0.3268 (multiplicity 2)  1 Sn 2.95, 4 In 3.22

As for the magnetization: 0.0 Bohr magnetons per cell. For the formation energy, the calculation gives -0.126 eV/atom. The total energy is -3.025 eV/atom.